#a
Here is GeSbTe2 after structural relaxation from the Alexandria database. Energies are from PBE.

- Space-group type: I-42d (122)

Cell: 7.909 7.909 6.879 Å, 54.91 54.91 90.00°
Fractional coordinates of all 8 atoms:
Sb (0.000, 0.000, 0.000)
Sb (0.750, 0.250, 0.500)
Ge (0.500, 0.500, 0.000)
Ge (0.250, 0.750, 0.500)
Te (0.609, 0.125, 0.250)
Te (0.141, 0.625, 0.250)
Te (0.375, 0.391, 0.750)
Te (0.875, 0.859, 0.750)


#b
Here is GeSbTe2 after structural relaxation from the Alexandria database. Energies are from PBE.

- Space-group type: Pmm2 (25)

Cell: 4.657 6.259 4.152 Å, 90.00 90.00 90.00°
Fractional coordinates of all 4 atoms:
Ge (0.167, 0.500, 0.875)
Sb (0.624, 0.000, 0.375)
Te (0.129, 0.000, 0.875)
Te (0.580, 0.500, 0.375)


#c
Here is GeSbTe2 after structural relaxation from the Alexandria database. Energies are from PBE.

- Space-group type: Fm-3m (225)

Cell: 5.307 5.307 5.307 Å, 60.00 60.00 60.00°
Fractional coordinates of all 4 atoms:
Sb (0.500, 0.500, 0.500)
Ge (0.000, 0.000, 0.000)
Te (0.250, 0.250, 0.250)
Te (0.750, 0.750, 0.750)


#d
Here is GeSbTe2 after structural relaxation from the Alexandria database. Energies are from PBE.

- Space-group type: R-3m (166)

Cell: 9.625 9.625 9.625 Å, 23.76 23.76 23.76°
Fractional coordinates of all 4 atoms:
Sb (0.000, 0.000, 0.000)
Ge (0.500, 0.500, 0.500)
Te (0.895, 0.895, 0.895)
Te (0.105, 0.105, 0.105)


Structures ranked by computed energy, the most stable listed first: #b, #d, #a, #c.


#a
Here is GeSbTe2W after structural relaxation from the Alexandria database. Energies are from PBE.

- Space-group type: P4/mmm (123)

Cell: 5.295 5.295 5.306 Å, 90.00 90.00 90.00°
Fractional coordinates of all 5 atoms:
Sb (0.000, 0.000, 0.500)
Ge (0.500, 0.500, 0.500)
Te (0.000, 0.500, 0.000)
Te (0.500, 0.000, 0.000)
W (0.000, 0.000, 0.000)


#b
Here is GeSbTe2W after structural relaxation from the Alexandria database. Energies are from PBE.

- Space-group type: P4/mmm (123)

Cell: 5.264 5.264 5.231 Å, 90.00 90.00 90.00°
Fractional coordinates of all 5 atoms:
Sb (0.000, 0.000, 0.500)
Ge (0.000, 0.000, 0.000)
Te (0.000, 0.500, 0.000)
Te (0.500, 0.000, 0.000)
W (0.500, 0.500, 0.500)


Structures ranked by computed energy, the most stable listed first: #a, #b.


#a
Here is YGeSb2Te after structural relaxation from the Alexandria database. Energies are from PBE.

- Space-group type: P4/mmm (123)

Cell: 5.774 5.774 5.760 Å, 90.00 90.00 90.00°
Fractional coordinates of all 5 atoms:
Y (0.000, 0.000, 0.000)
Sb (0.000, 0.500, 0.000)
Sb (0.500, 0.000, 0.000)
Ge (0.500, 0.500, 0.500)
Te (0.000, 0.000, 0.500)


#b
Here is YGeSb2Te after structural relaxation from the Alexandria database. Energies are from PBE.

- Space-group type: P4/mmm (123)

Cell: 5.310 5.310 5.394 Å, 90.00 90.00 90.00°
Fractional coordinates of all 5 atoms:
Y (0.500, 0.500, 0.500)
Sb (0.000, 0.500, 0.000)
Sb (0.500, 0.000, 0.000)
Ge (0.000, 0.000, 0.000)
Te (0.000, 0.000, 0.500)


Structures ranked by computed energy, the most stable listed first: #b, #a.


#a
Here is YGe2SbTe after structural relaxation from the Alexandria database. Energies are from PBE.

- Space-group type: P4/mmm (123)

Cell: 5.499 5.779 5.499 Å, 90.00 90.00 90.00°
Fractional coordinates of all 5 atoms:
Y (0.000, 0.000, 0.000)
Sb (0.000, 0.500, 0.000)
Ge (0.000, 0.000, 0.500)
Ge (0.500, 0.000, 0.000)
Te (0.500, 0.500, 0.500)


#b
Here is YGe2SbTe after structural relaxation from the Alexandria database. Energies are from PBE.

- Space-group type: P4/mmm (123)

Cell: 5.187 5.801 5.187 Å, 90.00 90.00 90.00°
Fractional coordinates of all 5 atoms:
Y (0.500, 0.500, 0.500)
Sb (0.000, 0.500, 0.000)
Ge (0.000, 0.000, 0.500)
Ge (0.500, 0.000, 0.000)
Te (0.000, 0.000, 0.000)


Structures ranked by computed energy, the most stable listed first: #b, #a.


#a
Here is YGeSbTe2 after structural relaxation from the Alexandria database. Energies are from PBE.

- Space-group type: P4/mmm (123)

Cell: 5.369 5.369 5.319 Å, 90.00 90.00 90.00°
Fractional coordinates of all 5 atoms:
Y (0.500, 0.500, 0.500)
Sb (0.000, 0.000, 0.500)
Ge (0.000, 0.000, 0.000)
Te (0.000, 0.500, 0.000)
Te (0.500, 0.000, 0.000)


#b
Here is YGeSbTe2 after structural relaxation from the Alexandria database. Energies are from PBE.

- Space-group type: P4/mmm (123)

Cell: 5.775 5.775 5.832 Å, 90.00 90.00 90.00°
Fractional coordinates of all 5 atoms:
Y (0.000, 0.000, 0.000)
Sb (0.000, 0.000, 0.500)
Ge (0.500, 0.500, 0.500)
Te (0.000, 0.500, 0.000)
Te (0.500, 0.000, 0.000)


Structures ranked by computed energy, the most stable listed first: #a, #b.


#a
Here is Th3GeSb2 after structural relaxation from the Alexandria database. Energies are from PBE.

- Space-group type: C2/c (15)

Cell: 7.670 7.691 7.691 Å, 119.59 99.64 99.64°
Fractional coordinates of all 12 atoms:
Th (0.004, 0.196, 0.350)
Th (0.504, 0.350, 0.196)
Th (0.000, 0.500, 0.000)
Th (0.996, 0.804, 0.650)
Th (0.500, 0.000, 0.500)
Th (0.496, 0.650, 0.804)
Ge (0.250, 0.588, 0.412)
Ge (0.750, 0.412, 0.588)
Sb (0.250, 0.918, 0.082)
Sb (0.250, 0.243, 0.757)
Sb (0.750, 0.082, 0.918)
Sb (0.750, 0.757, 0.243)


#b
Here is Th3GeSb2 after structural relaxation from the Alexandria database. Energies are from PBE.

- Space-group type: Fddd (70)

Cell: 7.705 7.705 13.994 Å, 100.63 100.63 109.28°
Fractional coordinates of all 24 atoms:
Th (0.164, 0.681, 0.827)
Th (0.662, 0.146, 0.827)
Th (0.086, 0.069, 0.673)
Th (0.588, 0.604, 0.673)
Th (0.019, 0.519, 0.500)
Th (0.481, 0.981, 0.500)
Th (0.396, 0.412, 0.327)
Th (0.931, 0.914, 0.327)
Th (0.854, 0.338, 0.173)
Th (0.319, 0.836, 0.173)
Th (0.231, 0.231, 0.000)
Th (0.769, 0.769, 0.000)
Ge (0.916, 0.916, 0.833)
Ge (0.334, 0.834, 0.667)
Ge (0.166, 0.666, 0.333)
Ge (0.084, 0.084, 0.167)
Sb (0.997, 0.497, 0.995)
Sb (0.419, 0.419, 0.838)
Sb (0.831, 0.331, 0.662)
Sb (0.253, 0.253, 0.505)
Sb (0.747, 0.747, 0.495)
Sb (0.669, 0.169, 0.338)
Sb (0.581, 0.581, 0.162)
Sb (0.503, 0.003, 0.005)


Structures ranked by computed energy, the most stable listed first: #b, #a.


#a
Here is Th2GeSb after structural relaxation from the Alexandria database. Energies are from PBE.

- Space-group type: R3m (160)

Cell: 4.278 4.278 8.146 Å, 74.78 74.78 60.00°
Fractional coordinates of all 4 atoms:
Th (0.087, 0.087, 0.740)
Th (0.246, 0.246, 0.261)
Ge (0.499, 0.499, 0.503)
Sb (0.668, 0.668, 0.997)


#b
Here is Th2GeSb after structural relaxation from the Alexandria database. Energies are from PBE.

- Space-group type: P4/mmm (123)

Cell: 3.411 5.615 5.615 Å, 90.00 90.00 90.00°
Fractional coordinates of all 4 atoms:
Sb (0.500, 0.000, 0.000)
Ge (0.500, 0.500, 0.500)
Th (0.000, 0.000, 0.500)
Th (0.000, 0.500, 0.000)


#c
Here is Th2GeSb after structural relaxation from the Alexandria database. Energies are from PBE.

- Space-group type: R-3m (166)

Cell: 4.381 4.381 7.713 Å, 73.50 73.50 60.00°
Fractional coordinates of all 4 atoms:
Sb (0.500, 0.500, 0.500)
Ge (0.000, 0.000, 0.000)
Th (0.743, 0.743, 0.771)
Th (0.257, 0.257, 0.229)


Structures ranked by computed energy, the most stable listed first: #c, #a, #b.


#a
Here is Ti2GeSb2 after structural relaxation from the Alexandria database. Energies are from PBE.

- Space-group type: P4/mbm (127)

Cell: 7.177 7.177 3.901 Å, 90.00 90.00 90.00°
Fractional coordinates of all 10 atoms:
Sb (0.152, 0.652, 0.500)
Sb (0.652, 0.848, 0.500)
Sb (0.848, 0.348, 0.500)
Sb (0.348, 0.152, 0.500)
Ge (0.000, 0.000, 0.000)
Ge (0.500, 0.500, 0.000)
Ti (0.350, 0.850, 0.000)
Ti (0.850, 0.650, 0.000)
Ti (0.650, 0.150, 0.000)
Ti (0.150, 0.350, 0.000)


#b
Here is Ti2GeSb2 after structural relaxation from the Alexandria database. Energies are from PBE.

- Space-group type: P4/mbm (127)

Cell: 7.798 7.798 3.531 Å, 90.00 90.00 90.00°
Fractional coordinates of all 10 atoms:
Sb (0.344, 0.844, 0.000)
Sb (0.844, 0.656, 0.000)
Sb (0.656, 0.156, 0.000)
Sb (0.156, 0.344, 0.000)
Ge (0.000, 0.000, 0.000)
Ge (0.500, 0.500, 0.000)
Ti (0.132, 0.632, 0.500)
Ti (0.632, 0.868, 0.500)
Ti (0.868, 0.368, 0.500)
Ti (0.368, 0.132, 0.500)


Structures ranked by computed energy, the most stable listed first: #a, #b.


#a
Here is Ti2GeSb after structural relaxation from the Alexandria database. Energies are from PBE.

- Space-group type: I-42d (122)

Cell: 5.986 5.986 7.437 Å, 66.27 66.27 90.00°
Fractional coordinates of all 8 atoms:
Sb (0.000, 0.000, 0.000)
Sb (0.750, 0.250, 0.500)
Ge (0.500, 0.500, 0.000)
Ge (0.250, 0.750, 0.500)
Ti (0.591, 0.125, 0.250)
Ti (0.159, 0.625, 0.250)
Ti (0.375, 0.409, 0.750)
Ti (0.875, 0.841, 0.750)


#b
Here is Ti2GeSb after structural relaxation from the Alexandria database. Energies are from PBE.

- Space-group type: R-3m (166)

Cell: 3.508 3.508 8.650 Å, 78.30 78.30 60.00°
Fractional coordinates of all 4 atoms:
Sb (0.000, 0.000, 0.000)
Ge (0.500, 0.500, 0.500)
Ti (0.107, 0.107, 0.678)
Ti (0.893, 0.893, 0.322)


Structures ranked by computed energy, the most stable listed first: #b, #a.


#a
Here is Tl2Ge2Sb after structural relaxation from the Alexandria database. Energies are from PBE.

- Space-group type: I4/mmm (139)

Cell: 3.762 3.762 9.937 Å, 79.09 79.09 90.00°
Fractional coordinates of all 5 atoms:
Sb (0.000, 0.000, 0.000)
Tl (0.391, 0.391, 0.217)
Tl (0.609, 0.609, 0.783)
Ge (0.750, 0.250, 0.500)
Ge (0.250, 0.750, 0.500)


#b
Here is Tl2Ge2Sb after structural relaxation from the Alexandria database. Energies are from PBE.

- Space-group type: P4/mbm (127)

Cell: 7.308 7.308 5.192 Å, 90.00 90.00 90.00°
Fractional coordinates of all 10 atoms:
Sb (0.000, 0.000, 0.000)
Sb (0.500, 0.500, 0.000)
Tl (0.180, 0.680, 0.500)
Tl (0.680, 0.820, 0.500)
Tl (0.820, 0.320, 0.500)
Tl (0.320, 0.180, 0.500)
Ge (0.377, 0.877, 0.000)
Ge (0.877, 0.623, 0.000)
Ge (0.623, 0.123, 0.000)
Ge (0.123, 0.377, 0.000)


Structures ranked by computed energy, the most stable listed first: #b, #a.


#a
Here is Tl3GeSb after structural relaxation from the Alexandria database. Energies are from PBE.

- Space-group type: Pm-3m (221)

Cell: 5.466 5.466 5.466 Å, 90.00 90.00 90.00°
Fractional coordinates of all 5 atoms:
Sb (0.500, 0.500, 0.500)
Tl (0.000, 0.500, 0.000)
Tl (0.000, 0.000, 0.500)
Tl (0.500, 0.000, 0.000)
Ge (0.000, 0.000, 0.000)


#b
Here is Tl3GeSb after structural relaxation from the Alexandria database. Energies are from PBE.

- Space-group type: Pm-3m (221)

Cell: 5.819 5.819 5.819 Å, 90.00 90.00 90.00°
Fractional coordinates of all 5 atoms:
Sb (0.000, 0.000, 0.000)
Tl (0.000, 0.500, 0.000)
Tl (0.000, 0.000, 0.500)
Tl (0.500, 0.000, 0.000)
Ge (0.500, 0.500, 0.500)


Structures ranked by computed energy, the most stable listed first: #a, #b.


#a
Here is TlGeSb3 after structural relaxation from the Alexandria database. Energies are from PBE.

- Space-group type: Pm-3m (221)

Cell: 5.450 5.450 5.450 Å, 90.00 90.00 90.00°
Fractional coordinates of all 5 atoms:
Sb (0.000, 0.500, 0.000)
Sb (0.000, 0.000, 0.500)
Sb (0.500, 0.000, 0.000)
Tl (0.500, 0.500, 0.500)
Ge (0.000, 0.000, 0.000)


#b
Here is TlGeSb3 after structural relaxation from the Alexandria database. Energies are from PBE.

- Space-group type: Pm-3m (221)

Cell: 5.647 5.647 5.647 Å, 90.00 90.00 90.00°
Fractional coordinates of all 5 atoms:
Sb (0.000, 0.500, 0.000)
Sb (0.000, 0.000, 0.500)
Sb (0.500, 0.000, 0.000)
Tl (0.000, 0.000, 0.000)
Ge (0.500, 0.500, 0.500)


Structures ranked by computed energy, the most stable listed first: #a, #b.